Entry from Alexandria: a relaxed RbGa3N crystal (PBE).

Summary:
As for the uncorrected formation energy: 2.267 eV per atom. The value obtained for the excess energy over the best structure of this formula in the dataset is 1574 meV per atom. The space-group type is No. 221. The value obtained for the final energy is -7.0 eV/f.u.

Cell lengths 5.9994, 5.9994, 5.9994 Å; angles 90.00, 90.00, 90.00 degrees
Positions (direct):
Rb (0.0000, 0.0000, 0.0000)
N (0.5000, 0.5000, 0.5000)
Ga (0.0000, 0.5000, 0.0000)
Ga (0.0000, 0.0000, 0.5000)
Ga (0.5000, 0.0000, 0.0000)